Material: ErThPbAu
Method: DFT, PBE
State: relaxed

Cell: 5.3326 5.3326 5.3326 Å, 60.00 60.00 60.00°
Last column: nearest neighbours and their distance in Å.
Sites, in units of the cell vectors:
Th  0.7500  0.7500  0.7500  4 Pb 3.27, 4 Au 3.27
Au  0.0000  0.0000  0.0000  4 Th 3.27, 4 Er 3.27
Pb  0.5000  0.5000  0.5000  4 Er 3.27, 4 Th 3.27
Er  0.2500  0.2500  0.2500  4 Au 3.27, 4 Pb 3.27

Output
crystal system: cubic
theoretical density: 12.44 g/cm³
DFT formation energy: -1.73 eV/f.u.
symmetry: F-43m (216)
raw total energy: -20.70 eV/cell

Material: TbCe2Pt9
Method: DFT, PBE
State: relaxed

Cell: 4.1568 4.1568 12.4574 Å, 90.00 90.00 90.00°
Last column: nearest neighbours and their distance in Å.
Sites, in units of the cell vectors:
Pt  0.5000  0.5000  0.0000  4 Tb 2.94, 8 Pt 2.94
Pt  0.5000  0.0000  0.5000  8 Pt 2.94, 4 Ce 2.95
Pt  0.5000  0.0000  0.1674  2 Ce 2.92, 8 Pt 2.93-2.94, 2 Tb 2.94
Pt  0.0000  0.5000  0.1674  2 Ce 2.92, 8 Pt 2.93-2.94, 2 Tb 2.94
Pt  0.5000  0.5000  0.3327  8 Pt 2.93-2.94, 4 Ce 2.94
Pt  0.0000  0.5000  0.5000  8 Pt 2.94, 4 Ce 2.95
Pt  0.5000  0.5000  0.6673  8 Pt 2.93-2.94, 4 Ce 2.94
Pt  0.5000  0.0000  0.8326  2 Ce 2.92, 8 Pt 2.93-2.94, 2 Tb 2.94
Pt  0.0000  0.5000  0.8326  2 Ce 2.92, 8 Pt 2.93-2.94, 2 Tb 2.94
Ce  0.0000  0.0000  0.6685  12 Pt 2.92-2.95
Ce  0.0000  0.0000  0.3315  12 Pt 2.92-2.95
Tb  0.0000  0.0000  0.0000  12 Pt 2.94

Output
crystal system: tetragonal
theoretical density: 16.93 g/cm³
DFT formation energy: -12.14 eV/f.u.
symmetry: P4/mmm (123)
relative energy among the computed polymorphs: 0 meV per atom
raw total energy: -83.00 eV/cell